Li2Mg2Ga2NiAu | PBE | relaxed

a = 4.3644 Å, b = 4.3644 Å, c = 6.3173 Å
α = 90.00°, β = 90.00°, γ = 90.00°
Fractional positions:
Au 0.0000 0.0000 0.0000
Ga 0.0000 0.5000 0.2768
Ga 0.5000 0.0000 0.7232
Li 0.5000 0.5000 0.0000
Li 0.0000 0.0000 0.5000
Mg 0.5000 0.0000 0.2631
Mg 0.0000 0.5000 0.7369
Ni 0.5000 0.5000 0.5000

Values from the calculation:
E, eV per cell: -25.0
Volume, Å³/cell: 120
Space-group type: P-4m2

La2BeCuGe2 | PBE | relaxed

a = 4.1801 Å, b = 4.1801 Å, c = 8.5986 Å
α = 90.00°, β = 90.00°, γ = 120.00°
Site moments in Bohr magnetons follow the coordinates.
Fractional positions:
Be 0.0000 0.0000 0.5000  0.06
Cu 0.3333 0.6667 0.0000  0.02
Ge 0.0000 0.0000 0.0000  0.01
Ge 0.3333 0.6667 0.5000  -0.02
La 0.6667 0.3333 0.2464  0.10
La 0.6667 0.3333 0.7536  0.08

Values from the calculation:
E, eV per cell: -30.2
Volume, Å³/cell: 130
Space-group type: P-6m2

SrCdSO | PBE | relaxed

a = 7.2992 Å, b = 12.4752 Å, c = 7.2861 Å
α = 90.00°, β = 90.00°, γ = 90.00°
Fractional positions:
Cd 0.7493 0.0504 0.0000
Cd 0.2493 0.4496 0.0000
Cd 0.7507 0.5504 0.0000
Cd 0.2507 0.9496 0.0000
Cd 0.7493 0.4496 0.5000
Cd 0.7507 0.9496 0.5000
Cd 0.2493 0.0504 0.5000
Cd 0.2507 0.5504 0.5000
O 0.7494 0.2293 0.0000
O 0.2494 0.2707 0.0000
O 0.7506 0.7293 0.0000
O 0.2506 0.7707 0.0000
O 0.2494 0.2293 0.4999
O 0.2506 0.7293 0.4999
O 0.7494 0.2707 0.5001
O 0.7506 0.7707 0.5001
S 0.5130 0.4997 0.2494
S 0.9870 0.9997 0.2494
S 0.0130 0.4997 0.2506
S 0.4870 0.9997 0.2506
S 0.5130 0.0003 0.7494
S 0.9870 0.5003 0.7494
S 0.0130 0.0003 0.7506
S 0.4870 0.5003 0.7506
Sr 0.4999 0.2496 0.2494
Sr 0.0001 0.7496 0.2494
Sr 0.9999 0.2496 0.2506
Sr 0.5001 0.7496 0.2506
Sr 0.4999 0.2504 0.7494
Sr 0.0001 0.7504 0.7494
Sr 0.9999 0.2504 0.7506
Sr 0.5001 0.7504 0.7506

Values from the calculation:
E, eV per cell: -144.9
Volume, Å³/cell: 663
Space-group type: Pbca

HoScPbC | PBE | relaxed

a = 3.5107 Å, b = 3.5107 Å, c = 15.6121 Å
α = 90.00°, β = 90.00°, γ = 120.00°
Fractional positions:
C 0.0000 0.0000 0.4946
C 0.0000 0.0000 0.9946
Ho 0.3333 0.6667 0.0807
Ho 0.6667 0.3333 0.5807
Pb 0.6667 0.3333 0.2554
Pb 0.3333 0.6667 0.7554
Sc 0.3333 0.6667 0.4193
Sc 0.6667 0.3333 0.9193

Values from the calculation:
Volume, Å³/cell: 167
Distance to the lowest polymorph of the same formula, eV per atom: 0.000
Space-group type: P6_3mc

CuReSbPt | PBE | relaxed

a = 4.4991 Å, b = 4.4991 Å, c = 4.4991 Å
α = 60.00°, β = 60.00°, γ = 60.00°
Fractional positions:
Cu 0.7500 0.7500 0.7500
Pt 0.5000 0.5000 0.5000
Re 0.2500 0.2500 0.2500
Sb 0.0000 0.0000 0.0000

Values from the calculation:
Volume, Å³/cell: 64
Distance to the lowest polymorph of the same formula, eV per atom: 0.000
Space-group type: F-43m

Re2AgW2 | PBE | relaxed

a = 4.4227 Å, b = 4.4227 Å, c = 5.2245 Å
α = 90.00°, β = 90.00°, γ = 120.00°
Fractional positions:
Ag 0.0000 0.0000 0.0000
Re 0.6667 0.3333 0.3329
Re 0.3333 0.6667 0.6671
W 0.3333 0.6667 0.1821
W 0.6667 0.3333 0.8179

Values from the calculation:
Calculated formation energy, eV/atom: 0.6641
Volume, Å³/cell: 89
Space-group type: P-3m1

PrGdP2Ir2O2 | PBE | relaxed

a = 3.9897 Å, b = 3.9897 Å, c = 8.2586 Å
α = 90.00°, β = 90.00°, γ = 90.00°
Fractional positions:
Gd 0.0000 0.0000 0.8598
Ir 0.5000 0.0000 0.5037
Ir 0.0000 0.5000 0.5037
O 0.5000 0.0000 0.9918
O 0.0000 0.5000 0.9918
P 0.0000 0.0000 0.3451
P 0.5000 0.5000 0.6610
Pr 0.5000 0.5000 0.1431

Values from the calculation:
E, eV per cell: -63.4
Volume, Å³/cell: 131
Space-group type: P4mm

CsRe2O4 | PBE | relaxed

a = 6.6945 Å, b = 6.6945 Å, c = 6.6945 Å
α = 119.99°, β = 90.01°, γ = 119.99°
Fractional positions:
Cs 0.0000 0.0000 0.0000
Cs 0.7500 0.5000 0.2500
O 0.5929 0.1859 0.4070
O 0.2212 0.8141 0.4070
O 0.5930 0.8141 0.4071
O 0.1570 0.3141 0.4712
O 0.5930 0.1859 0.7788
O 0.1570 0.6859 0.8429
O 0.1571 0.3141 0.8430
O 0.5288 0.6859 0.8430
Re 0.3750 0.7500 0.1250
Re 0.3750 0.7500 0.6250
Re 0.8750 0.2500 0.6250
Re 0.3750 0.2500 0.6250

Values from the calculation:
E, eV per cell: -102.5
Volume, Å³/cell: 212
Space-group type: Fd-3m